La3ZrPa2N6 | PBE | optimized geometry

Properties
energy relative to the elements, uncorrected	-1575	meV/atom
theoretical density	9.089	g/cm3
total moment	0.0	μB/cell

Unit cell a=6.1106 b=6.1106 c=6.2898 alpha=99.27 beta=99.27 gamma=119.99
Fractional coordinates of all 12 atoms:
N (0.6006, 0.9330, 0.7989)
Pa (0.3332, 0.6668, 0.0000)
La (0.8355, 0.1645, 0.5000)
N (0.7357, 0.7357, 0.2040)
N (0.3994, 0.0670, 0.2011)
Zr (0.0000, 0.0000, 0.0000)
N (0.2643, 0.2643, 0.7960)
Pa (0.6668, 0.3332, 0.0000)
La (0.1645, 0.8355, 0.5000)
N (0.9330, 0.6006, 0.7989)
N (0.0670, 0.3994, 0.2011)
La (0.5000, 0.5000, 0.5000)

***

La2ZrPaN4 | PBE | optimized geometry

Properties
energy relative to the elements, uncorrected	-1562	meV/atom
theoretical density	8.661	g/cm3
total moment	0.0	μB/cell

Unit cell a=3.5088 b=6.0266 c=6.2739 alpha=108.53 beta=90.00 gamma=90.00
Fractional coordinates of all 8 atoms:
N (0.5000, 0.7661, 0.7962)
Pa (0.5000, 0.5000, 0.0000)
N (0.0000, 0.2602, 0.7975)
La (0.0000, 0.5000, 0.5000)
La (0.5000, 0.0000, 0.5000)
Zr (0.0000, 0.0000, 0.0000)
N (0.5000, 0.2339, 0.2038)
N (0.0000, 0.7398, 0.2025)